1.
ScZnMo2 | PBE-GGA | relaxed

- N(E_F): 2.12 states/eV/f.u.
- Excess energy over the best structure of this formula in the dataset: 220.4 meV/atom
- V: 16.6 Å³/atom
- E_tot: -7.159 eV per atom
- Calculated density: 7.5 g cm⁻³
- Energy of formation from the pure elements: 0.63 eV per formula unit

Cell lengths 3.5905, 4.1279, 8.9731 Å; angles 90.00, 90.00, 90.00 degrees
Closest atoms and distances in Å follow each position.
Space group Cmmm (No. 65)
Asymmetric unit:
Sc (0.0000, 0.0000, 0.0000) x2  4 Sc 2.74, 4 Mo 2.99
Zn (0.0000, 0.0000, 0.5000) x2  4 Zn 2.74, 8 Mo 2.76-2.94
Mo (0.0000, 0.5000, 0.2670) x4  4 Mo 2.74, 4 Zn 2.76-2.94, 2 Sc 2.99

=====

2.
ScZnMo2 | PBE-GGA | relaxed

- N(E_F): 4.11 states/eV/f.u.
- Excess energy over the best structure of this formula in the dataset: 71.8 meV/atom
- V: 16.5 Å³/atom
- E_tot: -7.307 eV per atom
- Calculated density: 7.6 g cm⁻³
- Energy of formation from the pure elements: 0.04 eV per formula unit

Cell lengths 4.5311, 4.5401, 6.4206 Å; angles 90.00, 90.00, 90.00 degrees
Closest atoms and distances in Å follow each position.
Space group Imm2 (No. 44)
Asymmetric unit:
Sc (0.0000, 0.0000, 0.0000) x2  4 Mo 2.78, 4 Zn 2.78
Zn (0.0000, 0.5000, 0.7502) x2  4 Sc 2.78, 4 Mo 2.78
Mo (0.0000, 0.0000, 0.5006) x2  4 Mo 2.77-2.78, 4 Zn 2.78
Mo (0.0000, 0.5000, 0.2498) x2  4 Mo 2.77-2.78, 4 Sc 2.78

=====

3.
ScZnMo2 | PBE-GGA | relaxed

- N(E_F): 2.99 states/eV/f.u.
- Excess energy over the best structure of this formula in the dataset: 290.6 meV/atom
- V: 16.9 Å³/atom
- E_tot: -7.088 eV per atom
- Calculated density: 7.4 g cm⁻³
- Energy of formation from the pure elements: 0.91 eV per formula unit

Cell lengths 2.7284, 4.5411, 5.4580 Å; angles 90.00, 90.00, 90.00 degrees
Closest atoms and distances in Å follow each position.
Space group Pmmm (No. 47)
Asymmetric unit:
Sc (0.0000, 0.0000, 0.0000) x1  2 Sc 2.73, 2 Zn 2.73, 8 Mo 2.97
Zn (0.0000, 0.0000, 0.5000) x1  2 Zn 2.73, 2 Sc 2.73, 8 Mo 2.99
Mo (0.5000, 0.5000, 0.2443) x2  4 Mo 2.67-2.79, 4 Sc 2.97

=====

4.
ScZnMo2 | PBE-GGA | relaxed

- N(E_F): 3.98 states/eV/f.u.
- Excess energy over the best structure of this formula in the dataset: 241.0 meV/atom
- V: 17.7 Å³/atom
- E_tot: -7.138 eV per atom
- Calculated density: 7.1 g cm⁻³
- Energy of formation from the pure elements: 0.72 eV per formula unit

Cell lengths 3.0840, 3.0840, 25.7497 Å; angles 90.00, 90.00, 120.00 degrees
Closest atoms and distances in Å follow each position.
Space group R3m (No. 160, hexagonal axes)
Asymmetric unit:
Sc (0.0000, 0.0000, 0.0000) x3  3 Mo 2.86, 3 Zn 2.94, 6 Sc 3.08
Zn (0.0000, 0.0000, 0.7575) x3  3 Mo 2.78, 3 Sc 2.94, 6 Zn 3.08
Mo (0.0000, 0.0000, 0.2464) x3  3 Mo 2.58, 3 Sc 2.86
Mo (0.0000, 0.0000, 0.5072) x3  3 Mo 2.58, 3 Zn 2.78